(1)
Density functional theory data (GGA-PBE) for crystalline YTiN2O at its relaxed geometry.

Structure (POSCAR):
```
YTiN2O
1.0
3.9221 0.0000 0.0000
0.0000 3.9221 0.0000
0.0000 0.0000 3.9008
N Y O Ti
2 1 1 1
Direct
0.5000 0.0000 0.0000 N
0.0000 0.5000 0.0000 N
0.5000 0.5000 0.5000 Y
0.0000 0.0000 0.5000 O
0.0000 0.0000 0.0000 Ti
```

Properties
formation energy from raw total energies	-7.8	eV/f.u.
density of states at the Fermi level	0.38	states/eV per atom
crystal system	tetragonal

(2)
Density functional theory data (GGA-PBE) for crystalline La3PrY2Er6 at its relaxed geometry.

Structure (POSCAR):
```
La3PrY2Er6
1.0
-4.0534 -4.6321 -1.0062
3.6176 2.0421 -4.6520
8.3079 -6.9185 4.8149
Pr La Er Y
1 3 6 2
Direct
0.0000 0.0000 0.0000 Pr
0.1667 0.8333 0.5000 La
0.8333 0.1667 0.5000 La
0.5000 0.5000 0.5000 La
0.9179 0.5844 0.7532 Er
0.7487 0.7487 0.2470 Er
0.0821 0.4156 0.2468 Er
0.5844 0.9179 0.7532 Er
0.4156 0.0821 0.2468 Er
0.2513 0.2513 0.7530 Er
0.6668 0.3332 0.0000 Y
0.3332 0.6668 0.0000 Y
```

Properties
density of states at the Fermi level	1.30	states/eV per atom
crystal system	monoclinic
DFT formation energy	0.022	eV per atom

(3)
Density functional theory data (GGA-PBE) for crystalline CdRe2PdSe at its relaxed geometry.

Structure (POSCAR):
```
CdRe2PdSe
1.0
-3.0443 3.5192 1.4243
-3.8170 -2.9212 -0.9405
0.1738 -1.6946 4.5585
Se Cd Re Pd
1 1 2 1
Direct
0.0000 0.5000 0.0000 Se
0.5000 0.5000 0.5000 Cd
0.5000 0.0000 0.0000 Re
0.0000 0.0000 0.5000 Re
0.0000 0.0000 0.0000 Pd
```

Properties
formation energy from raw total energies	9.9	eV/f.u.
density of states at the Fermi level	1.39	states/eV per atom
crystal system	tetragonal

(4)
Density functional theory data (GGA-PBE) for crystalline MnFePb2 at its relaxed geometry.

Structure (POSCAR):
```
MnFePb2
1.0
8.7903 0.0418 0.0248
8.1225 3.3610 0.0248
8.1225 1.6342 2.9370
Pb Mn Fe
2 1 1
Direct
0.9954 0.9954 0.9954 Pb
0.5046 0.5046 0.5046 Pb
0.7500 0.7500 0.7500 Mn
0.2500 0.2500 0.2500 Fe
```

Properties
excess energy over the best structure of this formula in the dataset	249	meV/atom
density of states at the Fermi level	1.07	states/eV per atom
crystal system	trigonal
DFT formation energy	0.602	eV per atom